(1)
Computed, not measured: an optimized crystal structure of Sm2DyLu at the GGA-PBE level of DFT.

Properties
The calculation puts the offset from the most stable computed form at 0.002 eV per atom.

Lattice parameters (Å, degrees): 5.001 5.057 5.057 90.00 90.00 90.00
Element x y z (fractional)
Dy 0.500 0.500 0.500
Lu 0.500 0.000 0.000
Sm 0.000 0.000 0.500
Sm 0.000 0.500 0.000



(2)
Computed, not measured: an optimized crystal structure of Ce2SnAu8 at the GGA-PBE level of DFT.

Lattice parameters (Å, degrees): 5.115 6.506 8.132 113.58 94.46 90.00
Element x y z (fractional)
Au 0.000 0.759 0.000
Sn 0.500 0.000 0.000
Au 0.260 0.613 0.685
Ce 0.246 0.657 0.314
Au 0.260 0.071 0.685
Au 0.000 0.241 0.000
Ce 0.754 0.343 0.686
Au 0.246 0.190 0.379
Au 0.754 0.810 0.621
Au 0.740 0.929 0.315
Au 0.740 0.387 0.315



Calculated formation energy values, unit eV per atom, following the record order: 0.022 -0.408.
Magnetization values, unit Bohr magnetons per cell, following the record order: 0.00 1.51.
N(E_F) values, unit states/eV/f.u., following the record order: 6.07 13.43.